(1)
YIn2Bi2 | PBE | optimized geometry

Cell lengths 8.3347, 8.3347, 4.2424 Å; angles 90.00, 90.00, 90.00 degrees
Space group P4/mbm (No. 127)
Inequivalent atoms, fractional coordinates:
Y: 0.0000 0.0000 0.0000 x2
In: 0.1287 0.3713 0.0000 x4
Bi: 0.1736 0.6736 0.5000 x4

Results
E_form, eV per atom: -0.119
Energy relative to the lowest polymorph listed for this composition, eV/atom: 0.087
Size of the total moment, Bohr magnetons per cell: 0.00
Final energy, Ry per atom: -0.2984
V, Å³/cell: 295



(2)
BeAl2Sn | PBE | optimized geometry

Cell lengths 4.5344, 4.5344, 15.7805 Å; angles 90.00, 90.00, 90.00 degrees
Space group I-42d (No. 122)
Inequivalent atoms, fractional coordinates:
Be: 0.0000 0.0000 0.0000 x4
Al: 0.1625 0.2500 0.1250 x8
Sn: 0.0000 0.0000 0.5000 x4

Results
E_form, eV per atom: 0.306
Energy relative to the lowest polymorph listed for this composition, eV/atom: 0.000
Size of the total moment, Bohr magnetons per cell: 0.00
Final energy, Ry per atom: -0.2571
V, Å³/cell: 324



(3)
Ac4Pt6Pb5 | PBE | optimized geometry

Cell lengths 4.4812, 21.8387, 16.7466 Å; angles 90.00, 90.00, 90.00 degrees
Space group Cmc2_1 (No. 36)
Inequivalent atoms, fractional coordinates:
Ac: 0.0000 0.0029 0.0000 x4
Ac: 0.0000 0.0358 0.2643 x4
Ac: 0.0000 0.1638 0.7837 x4
Ac: 0.0000 0.1846 0.4304 x4
Pt: 0.0000 0.1176 0.6022 x4
Pt: 0.0000 0.2199 0.9641 x4
Pt: 0.0000 0.2372 0.2436 x4
Pt: 0.0000 0.4290 0.6104 x4
Pt: 0.0000 0.4293 0.8918 x4
Pt: 0.0000 0.4460 0.3296 x4
Pb: 0.0000 0.1513 0.1083 x4
Pb: 0.0000 0.3027 0.0990 x4
Pb: 0.0000 0.3373 0.7619 x4
Pb: 0.0000 0.3613 0.4561 x4
Pb: 0.0000 0.4470 0.1575 x4

Results
E_form, eV per atom: -0.704
Size of the total moment, Bohr magnetons per cell: 0.00
Final energy, Ry per atom: -0.4007
V, Å³/cell: 1639



(4)
CdPb2Se2 | PBE | optimized geometry

Cell lengths 8.3233, 8.3233, 4.0348 Å; angles 90.00, 90.00, 90.00 degrees
Space group P4/mbm (No. 127)
Inequivalent atoms, fractional coordinates:
Cd: 0.0000 0.0000 0.0000 x2
Pb: 0.1563 0.3437 0.5000 x4
Se: 0.1530 0.6530 0.0000 x4

Results
Formation energy from raw total energies, eV per formula unit: -1.2
Energy relative to the lowest polymorph listed for this composition, eV/atom: 0.000
Size of the total moment, Bohr magnetons per cell: 0.00
Final energy, Ry per atom: -0.2427
V, Å³/cell: 280



(5)
Tb2BiF11 | PBE | optimized geometry

Cell lengths 8.0496, 10.3364, 10.9317 Å; angles 90.00, 90.00, 90.00 degrees
Space group Ibam (No. 72)
Inequivalent atoms, fractional coordinates:
Tb: 0.1366 0.1820 0.0000 x8
Bi: 0.0000 0.5000 0.2500 x4
F: 0.0000 0.0000 0.0000 x4
F: 0.0931 0.3346 0.1508 x16
F: 0.1278 0.2217 0.5000 x8
F: 0.2067 0.4359 0.3584 x16

Results
Formation energy from raw total energies, eV per formula unit: -43.1
Size of the total moment, Bohr magnetons per cell: 0.16
Final energy, Ry per atom: -0.4035
V, Å³/cell: 910



(6)
Tb2Be3Pt4Au | PBE | optimized geometry

Cell lengths 3.9817, 3.9817, 10.5317 Å; angles 90.00, 90.00, 90.00 degrees
Space group P-4m2 (No. 115)
Inequivalent atoms, fractional coordinates:
Tb: 0.0000 0.5000 0.2384 x2
Be: 0.0000 0.5000 0.8879 x2
Be: 0.5000 0.5000 0.5000 x1
Pt: 0.0000 0.0000 0.0000 x1
Pt: 0.0000 0.5000 0.6730 x2
Pt: 0.5000 0.5000 0.0000 x1
Au: 0.0000 0.0000 0.5000 x1

Results
E_form, eV per atom: -0.839
Size of the total moment, Bohr magnetons per cell: 0.00
Final energy, Ry per atom: -0.4136
V, Å³/cell: 167



> Among the records above, which one has the lowest final energy?

Tb2Be3Pt4Au



Copy entry 3 word for word.
Ac4Pt6Pb5 | PBE | optimized geometry

Cell lengths 4.4812, 21.8387, 16.7466 Å; angles 90.00, 90.00, 90.00 degrees
Space group Cmc2_1 (No. 36)
Inequivalent atoms, fractional coordinates:
Ac: 0.0000 0.0029 0.0000 x4
Ac: 0.0000 0.0358 0.2643 x4
Ac: 0.0000 0.1638 0.7837 x4
Ac: 0.0000 0.1846 0.4304 x4
Pt: 0.0000 0.1176 0.6022 x4
Pt: 0.0000 0.2199 0.9641 x4
Pt: 0.0000 0.2372 0.2436 x4
Pt: 0.0000 0.4290 0.6104 x4
Pt: 0.0000 0.4293 0.8918 x4
Pt: 0.0000 0.4460 0.3296 x4
Pb: 0.0000 0.1513 0.1083 x4
Pb: 0.0000 0.3027 0.0990 x4
Pb: 0.0000 0.3373 0.7619 x4
Pb: 0.0000 0.3613 0.4561 x4
Pb: 0.0000 0.4470 0.1575 x4

Results
E_form, eV per atom: -0.704
Size of the total moment, Bohr magnetons per cell: 0.00
Final energy, Ry per atom: -0.4007
V, Å³/cell: 1639



> V of number 5 (Tb2BiF11)?

910 Å³/cell